Record 1
Below is a relaxed structure of NdHoP2, with properties calculated at the PBE level.

Properties
SG	No. 166
magnetic moment	0.000	Bohr magnetons per cell
relative energy among the computed polymorphs	0	kJ/mol of formula units
final energy	-26.4	eV per formula unit
volume	95.94	Å³/cell
Fermi-level density of states	0.4	states/eV/f.u.
crystal system	trigonal

Cell: 7.0567 7.0567 7.0567 Å, 33.62 33.62 33.62°
With the nearest neighbours (Å) after each atom.
Element x y z (fractional)
Nd: 0.0000 0.0000 0.0000  6 P 2.93
Ho: 0.5000 0.5000 0.5000  6 P 2.84
P: 0.2464 0.2464 0.2464  3 Ho 2.84, 3 Nd 2.93
P: 0.7536 0.7536 0.7536  3 Ho 2.84, 3 Nd 2.93

Record 2
Below is a relaxed structure of HoGaSn2Rh4, with properties calculated at the PBE level.

Properties
SG	No. 166
magnetic moment	0.000	Bohr magnetons per cell
final energy	-50.3	eV per formula unit
volume	137.67	Å³/cell
Fermi-level density of states	6.0	states/eV/f.u.
crystal system	trigonal

Cell: 8.0903 8.0903 8.0903 Å, 32.73 32.73 32.73°
With the nearest neighbours (Å) after each atom.
Element x y z (fractional)
Ho: 0.0000 0.0000 0.0000  8 Rh 2.96-3.00, 6 Sn 3.23
Ga: 0.5000 0.5000 0.5000  8 Rh 2.46-2.76
Sn: 0.2514 0.2514 0.2514  7 Rh 2.68-2.86
Sn: 0.7486 0.7486 0.7486  7 Rh 2.68-2.86
Rh: 0.1308 0.1308 0.1308  3 Ga 2.76, 4 Sn 2.77-2.86, 1 Ho 3.00
Rh: 0.3926 0.3926 0.3926  1 Ga 2.46, 3 Sn 2.68
Rh: 0.6074 0.6074 0.6074  1 Ga 2.46, 3 Sn 2.68
Rh: 0.8692 0.8692 0.8692  3 Ga 2.76, 4 Sn 2.77-2.86, 1 Ho 3.00

Record 3
Below is a relaxed structure of Na3CdAg8, with properties calculated at the PBE level.

Properties
SG	No. 160
magnetic moment	0.000	Bohr magnetons per cell
final energy	-28.3	eV per formula unit
volume	253.20	Å³/cell
Fermi-level density of states	4.4	states/eV/f.u.
crystal system	trigonal

Cell: 9.8235 9.8235 9.8235 Å, 33.21 33.21 33.21°
With the nearest neighbours (Å) after each atom.
Element x y z (fractional)
Na: 0.0000 0.0000 0.0000  12 Ag 3.28-3.31, 3 Cd 3.42, 1 Na 3.51
Na: 0.1261 0.1261 0.1261  12 Ag 3.29-3.34, 4 Na 3.46-3.51
Na: 0.5028 0.5028 0.5028  12 Ag 3.29-3.38, 3 Na 3.46, 1 Cd 3.48
Cd: 0.6278 0.6278 0.6278  12 Ag 3.26-3.32, 4 Na 3.42-3.48
Ag: 0.0618 0.5634 0.5634  6 Ag 2.80-2.84
Ag: 0.0640 0.0640 0.5649  6 Ag 2.80-2.84
Ag: 0.0640 0.5649 0.0640  6 Ag 2.80-2.84
Ag: 0.3135 0.3135 0.3135  6 Ag 2.81-2.82
Ag: 0.5634 0.0618 0.5634  6 Ag 2.80-2.84
Ag: 0.5634 0.5634 0.0618  6 Ag 2.80-2.84
Ag: 0.5649 0.0640 0.0640  6 Ag 2.80-2.84
Ag: 0.8137 0.8137 0.8137  6 Ag 2.84

Record 4
Below is a relaxed structure of BeCrSi, with properties calculated at the PBE level.

Properties
SG	No. 216
magnetic moment	2.185	Bohr magnetons per cell
formation energy (no corrections)	382.0	meV/atom
final energy	-17.6	eV per formula unit
volume	41.23	Å³/cell
Fermi-level density of states	0.7	states/eV/f.u.
crystal system	cubic

Cell: 3.8777 3.8777 3.8777 Å, 60.00 60.00 60.00°
With the nearest neighbours (Å) after each atom.
Element x y z (fractional)
Be: 0.0000 0.0000 0.0000  4 Cr 2.37
Cr: 0.2500 0.2500 0.2500  4 Be 2.37, 4 Si 2.37
Si: 0.5000 0.5000 0.5000  4 Cr 2.37

Record 5
Below is a relaxed structure of CaLa2Au, with properties calculated at the PBE level.

Properties
SG	No. 139
magnetic moment	0.000	Bohr magnetons per cell
relative energy among the computed polymorphs	72	kJ/mol of formula units
final energy	-15.9	eV per formula unit
volume	118.87	Å³/cell
Fermi-level density of states	6.7	states/eV/f.u.
crystal system	tetragonal

Cell: 6.3463 6.3463 6.3463 Å, 136.66 136.66 62.95°
With the nearest neighbours (Å) after each atom.
Element x y z (fractional)
Ca: 0.0000 0.0000 0.0000  4 Au 3.31, 8 La 3.58
La: 0.2500 0.7500 0.5000  4 La 3.31, 4 Au 3.58, 4 Ca 3.58
La: 0.7500 0.2500 0.5000  4 La 3.31, 4 Au 3.58, 4 Ca 3.58
Au: 0.5000 0.5000 0.0000  4 Ca 3.31, 8 La 3.58

Record 6
Below is a relaxed structure of SrLi2PdO4, with properties calculated at the PBE level.

Properties
SG	No. 23
magnetic moment	0.000	Bohr magnetons per cell
formation energy (no corrections)	-1354.9	meV/atom
final energy	-41.4	eV per formula unit
volume	102.88	Å³/cell
Fermi-level density of states	1.9	states/eV/f.u.
crystal system	orthorhombic

Cell: 5.1588 5.1588 5.1588 Å, 117.96 111.69 99.30°
With the nearest neighbours (Å) after each atom.
Element x y z (fractional)
Sr: 0.0000 0.0000 0.0000  4 O 2.48
Li: 0.2511 0.7511 0.5000  2 O 1.96
Li: 0.7489 0.2489 0.5000  2 O 1.96
Pd: 0.5000 0.5000 0.0000  4 O 1.97
O: 0.1142 0.5362 0.9566  1 Li 1.96, 1 Pd 1.97
O: 0.4204 0.4638 0.5779  1 Li 1.96, 1 Pd 1.97
O: 0.5796 0.1575 0.0434  1 Li 1.96, 1 Pd 1.97
O: 0.8858 0.8425 0.4221  1 Li 1.96, 1 Pd 1.97

Q: What is the formula in the fifth record?
A: CaLa2Au

Q: Which of these has the highest volume?
A: Na3CdAg8